Entry 1:
Entry from Alexandria: FeRu2 after structural relaxation (PBEsol).

Output
formation enthalpy at 0 K	50	meV per atom
space-group type	C2/m, No. 12
size of the total moment	0.00	μB/cell
DOS at the Fermi energy	1.0090	states/eV per atom

a b c (Å): 4.874 4.874 6.104
angles (deg): 103.30 103.30 31.31
Element x y z (fractional)
Fe (0.029, 0.029, 0.309)
Fe (0.971, 0.971, 0.691)
Ru (0.312, 0.312, 0.365)
Ru (0.364, 0.364, 0.969)
Ru (0.636, 0.636, 0.031)
Ru (0.688, 0.688, 0.635)

Entry 2:
Entry from Alexandria: ScBeOs2 after structural relaxation (PBEsol).

Output
formation enthalpy at 0 K	-44	meV per atom
space-group type	Immm, No. 71
size of the total moment	0.00	μB/cell
DOS at the Fermi energy	0.8570	states/eV per atom

a b c (Å): 4.925 4.925 4.925
angles (deg): 145.73 124.17 67.17
Element x y z (fractional)
Sc (0.000, 0.000, 0.000)
Be (0.500, 0.500, 0.000)
Os (0.281, 0.781, 0.500)
Os (0.719, 0.219, 0.500)

Entry 3:
Entry from Alexandria: FeCo3 after structural relaxation (PBEsol).

Output
formation enthalpy at 0 K	36	meV per atom
space-group type	P4/nmm, No. 129
size of the total moment	14.53	μB/cell
DOS at the Fermi energy	0.8742	states/eV per atom

a b c (Å): 2.452 2.452 14.080
angles (deg): 90.00 90.00 90.00
Element x y z (fractional)
Fe (0.250, 0.250, 0.189)
Fe (0.750, 0.750, 0.811)
Co (0.250, 0.250, 0.437)
Co (0.250, 0.250, 0.682)
Co (0.250, 0.250, 0.941)
Co (0.750, 0.750, 0.059)
Co (0.750, 0.750, 0.318)
Co (0.750, 0.750, 0.563)

Entry 4:
Entry from Alexandria: KSbPt2 after structural relaxation (PBEsol).

Output
final energy	-19.5	eV per cell
space-group type	P4/mmm, No. 123
size of the total moment	0.00	μB/cell
DOS at the Fermi energy	0.4645	states/eV per atom

a b c (Å): 3.272 3.272 8.118
angles (deg): 90.00 90.00 90.00
Element x y z (fractional)
K (0.000, 0.000, 0.000)
Sb (0.000, 0.000, 0.500)
Pt (0.500, 0.500, 0.312)
Pt (0.500, 0.500, 0.688)

Entry 5:
Entry from Alexandria: MgMoNF2 after structural relaxation (PBEsol).

Output
final energy	-31.1	eV per cell
space-group type	P4/mmm, No. 123
size of the total moment	1.01	μB/cell
DOS at the Fermi energy	0.5777	states/eV per atom

a b c (Å): 4.139 4.139 3.897
angles (deg): 90.00 90.00 90.00
Element x y z (fractional)
Mg (0.000, 0.000, 0.000)
Mo (0.500, 0.500, 0.500)
N (0.500, 0.500, 0.000)
F (0.000, 0.500, 0.500)
F (0.500, 0.000, 0.500)

Entry 6:
Entry from Alexandria: RePBr2 after structural relaxation (PBEsol).

Output
final energy	-19.0	eV per cell
space-group type	Cmmm, No. 65
size of the total moment	0.00	μB/cell
DOS at the Fermi energy	0.9196	states/eV per atom

a b c (Å): 3.136 3.136 9.125
angles (deg): 90.00 90.00 123.63
Element x y z (fractional)
Re (0.000, 0.000, 0.000)
P (0.000, 0.000, 0.500)
Br (0.500, 0.500, 0.224)
Br (0.500, 0.500, 0.776)

Entry 7:
Entry from Alexandria: ZrCdCuGe2 after structural relaxation (PBEsol).

Output
formation enthalpy at 0 K	1268	meV per atom
space-group type	P4/mmm, No. 123
size of the total moment	0.00	μB/cell
DOS at the Fermi energy	0.7172	states/eV per atom

a b c (Å): 4.829 4.829 5.335
angles (deg): 90.00 90.00 90.00
Element x y z (fractional)
Zr (0.000, 0.000, 0.000)
Cd (0.000, 0.000, 0.500)
Cu (0.500, 0.500, 0.000)
Ge (0.000, 0.500, 0.500)
Ge (0.500, 0.000, 0.500)

Entry 8:
Entry from Alexandria: YZn2Ru after structural relaxation (PBEsol).

Output
formation enthalpy at 0 K	-126	meV per atom
space-group type	Fm-3m, No. 225
size of the total moment	0.00	μB/cell
DOS at the Fermi energy	1.3059	states/eV per atom

a b c (Å): 4.529 4.529 4.529
angles (deg): 60.00 60.00 60.00
Element x y z (fractional)
Y (0.000, 0.000, 0.000)
Zn (0.250, 0.250, 0.250)
Zn (0.750, 0.750, 0.750)
Ru (0.500, 0.500, 0.500)

Entry 9:
Entry from Alexandria: HgGeNF2 after structural relaxation (PBEsol).

Output
final energy	-17.0	eV per cell
space-group type	P4/mmm, No. 123
size of the total moment	0.01	μB/cell
DOS at the Fermi energy	0.3754	states/eV per atom

a b c (Å): 4.387 4.387 4.141
angles (deg): 90.00 90.00 90.00
Element x y z (fractional)
Hg (0.000, 0.000, 0.000)
Ge (0.500, 0.500, 0.500)
N (0.000, 0.000, 0.500)
F (0.000, 0.500, 0.000)
F (0.500, 0.000, 0.000)

Entry 10:
Entry from Alexandria: RbBe4B3O9 after structural relaxation (PBEsol).

Output
final energy	-517.8	eV per cell
space-group type	Pnma, No. 62
size of the total moment	0.00	μB/cell
DOS at the Fermi energy	0.0000	states/eV per atom

a b c (Å): 8.527 13.241 6.356
angles (deg): 90.00 90.00 90.00
Element x y z (fractional)
Rb (0.058, 0.250, 0.181)
Rb (0.442, 0.750, 0.681)
Rb (0.558, 0.250, 0.319)
Rb (0.942, 0.750, 0.819)
Be (0.061, 0.557, 0.403)
Be (0.061, 0.943, 0.403)
Be (0.223, 0.143, 0.641)
Be (0.223, 0.357, 0.641)
Be (0.277, 0.643, 0.141)
Be (0.277, 0.857, 0.141)
Be (0.439, 0.057, 0.903)
Be (0.439, 0.443, 0.903)
Be (0.561, 0.557, 0.097)
Be (0.561, 0.943, 0.097)
Be (0.723, 0.143, 0.859)
Be (0.723, 0.357, 0.859)
Be (0.777, 0.643, 0.359)
Be (0.777, 0.857, 0.359)
Be (0.939, 0.057, 0.597)
Be (0.939, 0.443, 0.597)
B (0.047, 0.750, 0.306)
B (0.181, 0.537, 0.798)
B (0.181, 0.963, 0.798)
B (0.319, 0.037, 0.298)
B (0.319, 0.463, 0.298)
B (0.453, 0.250, 0.806)
B (0.547, 0.750, 0.194)
B (0.681, 0.537, 0.702)
B (0.681, 0.963, 0.702)
B (0.819, 0.037, 0.202)
B (0.819, 0.463, 0.202)
B (0.953, 0.250, 0.694)
O (0.029, 0.161, 0.656)
O (0.029, 0.339, 0.656)
O (0.054, 0.538, 0.658)
O (0.054, 0.962, 0.658)
O (0.199, 0.750, 0.231)
O (0.215, 0.620, 0.911)
O (0.215, 0.880, 0.911)
O (0.234, 0.553, 0.308)
O (0.234, 0.947, 0.308)
O (0.266, 0.053, 0.808)
O (0.266, 0.447, 0.808)
O (0.285, 0.120, 0.411)
O (0.285, 0.380, 0.411)
O (0.301, 0.250, 0.731)
O (0.446, 0.038, 0.158)
O (0.446, 0.462, 0.158)
O (0.471, 0.661, 0.156)
O (0.471, 0.839, 0.156)
O (0.529, 0.161, 0.844)
O (0.529, 0.339, 0.844)
O (0.554, 0.538, 0.842)
O (0.554, 0.962, 0.842)
O (0.699, 0.750, 0.269)
O (0.715, 0.620, 0.589)
O (0.715, 0.880, 0.589)
O (0.734, 0.553, 0.192)
O (0.734, 0.947, 0.192)
O (0.766, 0.053, 0.692)
O (0.766, 0.447, 0.692)
O (0.785, 0.120, 0.089)
O (0.785, 0.380, 0.089)
O (0.801, 0.250, 0.769)
O (0.946, 0.038, 0.342)
O (0.946, 0.462, 0.342)
O (0.971, 0.661, 0.344)
O (0.971, 0.839, 0.344)

Entry 11:
Entry from Alexandria: CoSiF3 after structural relaxation (PBEsol).

Output
final energy	-23.1	eV per cell
space-group type	Pm-3m, No. 221
size of the total moment	2.15	μB/cell
DOS at the Fermi energy	1.4057	states/eV per atom

a b c (Å): 4.068 4.068 4.068
angles (deg): 90.00 90.00 90.00
Element x y z (fractional)
Co (0.000, 0.000, 0.000)
Si (0.500, 0.500, 0.500)
F (0.000, 0.500, 0.500)
F (0.500, 0.000, 0.500)
F (0.500, 0.500, 0.000)

Entry 12:
Entry from Alexandria: Zr2TcAg after structural relaxation (PBEsol).

Output
formation enthalpy at 0 K	-260	meV per atom
space-group type	P4/mmm, No. 123
size of the total moment	0.00	μB/cell
DOS at the Fermi energy	0.9174	states/eV per atom

a b c (Å): 3.280 3.280 6.803
angles (deg): 90.00 90.00 90.00
Element x y z (fractional)
Zr (0.000, 0.000, 0.229)
Zr (0.000, 0.000, 0.771)
Tc (0.500, 0.500, 0.000)
Ag (0.500, 0.500, 0.500)